# 1
PBE V2MoIr, optimized geometry; DFT formation energy = 0.49 eV per atom; VASP energy = -144.0 eV/cell; mass density = 10.4 g cm⁻³
1.0
3.631 0.000 0.000
0.000 3.631 0.000
0.000 0.000 18.974
V Mo Ir
8 4 4
Cartesian
0.907 0.908 2.372
0.909 0.908 11.859
0.908 2.722 7.115
0.908 2.725 16.602
2.724 0.909 7.115
2.724 0.907 16.602
2.725 2.724 2.372
2.722 2.724 11.859
0.000 0.000 0.000
0.000 1.816 4.743
1.816 0.000 14.230
1.816 1.816 9.487
0.000 0.000 9.487
0.000 1.816 14.230
1.816 0.000 4.743
1.816 1.816 0.000



# 2
PBE Sb2AsICl, optimized geometry; VASP energy = -11.3 eV/cell; mass density = 5.0 g cm⁻³; E_form (uncorrected) = 1.00 eV per atom
1.0
5.449 0.000 0.000
0.000 5.449 0.000
0.000 0.000 5.353
Sb As I Cl
2 1 1 1
Cartesian
0.000 2.725 0.000
2.725 0.000 0.000
0.000 0.000 2.676
2.725 2.725 2.676
2.725 2.725 0.000



# 3
PBE Y2ZrP, optimized geometry; DFT formation energy = -0.66 eV per atom; VASP energy = -88.6 eV/cell; mass density = 4.7 g cm⁻³
1.0
3.679 0.000 0.000
-1.840 3.186 0.000
0.000 0.000 27.152
Y Zr P
6 3 3
Cartesian
0.000 0.000 0.000
0.000 0.000 5.861
0.000 2.124 18.101
0.000 2.124 23.962
1.840 1.062 9.051
1.840 1.062 14.911
0.000 0.000 12.243
0.000 2.124 3.192
1.840 1.062 21.293
0.000 0.000 19.807
0.000 2.124 10.757
1.840 1.062 1.706



# 4
PBE LaPbCl2, optimized geometry; VASP energy = -35.3 eV/cell; mass density = 5.9 g cm⁻³; E_form (uncorrected) = -1.33 eV per atom
1.0
3.617 0.000 0.000
0.000 6.337 0.000
0.000 0.000 10.204
La Pb Cl
2 2 4
Cartesian
0.000 0.000 0.000
1.809 3.168 5.102
0.000 0.000 5.102
1.809 3.168 0.000
0.000 3.168 2.867
0.000 3.168 7.337
1.809 0.000 2.235
1.809 0.000 7.969



How do the records compare in N(E_F)? In the order shown, they have 5.9; 6.1; 5.3; 1.8 states/eV/f.u..